## 1
The following is a DFT calculation (GGA-PBE) of Ca2Cd2Cu after structural relaxation.

The size of the total moment comes out at 0.00 μB/f.u.

Cell lengths 6.0926, 6.0926, 5.8306 Å; angles 58.50, 58.50, 90.00 degrees
Closest atoms and distances in Å follow each position.
Fractional positions:
1 Ca 0.7500 0.2500 0.5000  4 Cd 3.11
2 Ca 0.2500 0.7500 0.5000  4 Cd 3.11
3 Cu 0.0000 0.0000 0.0000  2 Cd 2.58
4 Cd 0.3288 0.3288 0.3423  1 Cu 2.58, 1 Cd 2.69
5 Cd 0.6712 0.6712 0.6577  1 Cu 2.58, 1 Cd 2.69

---

## 2
The following is a DFT calculation (GGA-PBE) of Ca2Cd2Cu after structural relaxation.

The size of the total moment comes out at 0.00 μB/f.u.

Cell lengths 8.0268, 8.0268, 4.5283 Å; angles 90.00, 90.00, 90.00 degrees
Closest atoms and distances in Å follow each position.
Fractional positions:
1 Ca 0.3330 0.8330 0.0000  2 Cu 2.99, 6 Cd 3.19-3.33
2 Ca 0.8330 0.6670 0.0000  2 Cu 2.99, 6 Cd 3.19-3.33
3 Ca 0.6670 0.1670 0.0000  2 Cu 2.99, 6 Cd 3.19-3.33
4 Ca 0.1670 0.3330 0.0000  2 Cu 2.99, 6 Cd 3.19-3.33
5 Cu 0.0000 0.0000 0.0000  4 Ca 2.99
6 Cu 0.5000 0.5000 0.0000  4 Ca 2.99
7 Cd 0.1349 0.6349 0.5000  1 Cd 3.06, 6 Ca 3.19-3.33
8 Cd 0.6349 0.8651 0.5000  1 Cd 3.06, 6 Ca 3.19-3.33
9 Cd 0.8651 0.3651 0.5000  1 Cd 3.06, 6 Ca 3.19-3.33
10 Cd 0.3651 0.1349 0.5000  1 Cd 3.06, 6 Ca 3.19-3.33

---

Least stable of them? 2.

---

## 1
The following is a DFT calculation (GGA-PBE) of Ca4CdCu after structural relaxation.

The size of the total moment comes out at 0.00 μB/f.u.

Cell lengths 6.6688, 6.6688, 6.6688 Å; angles 60.00, 60.00, 60.00 degrees
Closest atoms and distances in Å follow each position.
Fractional positions:
1 Ca 0.8750 0.3750 0.3750  6 Ca 3.33
2 Ca 0.3750 0.3750 0.8750  6 Ca 3.33
3 Ca 0.3750 0.8750 0.3750  6 Ca 3.33
4 Ca 0.3750 0.3750 0.3750  6 Ca 3.33
5 Cd 0.7500 0.7500 0.7500  12 Ca 3.91, 4 Cu 4.08
6 Cu 0.0000 0.0000 0.0000  12 Ca 3.91, 4 Cd 4.08

---

## 2
The following is a DFT calculation (GGA-PBE) of Ca4CdCu after structural relaxation.

The size of the total moment comes out at 0.00 μB/f.u.

Cell lengths 3.7506, 3.7506, 13.1076 Å; angles 90.00, 90.00, 90.00 degrees
Closest atoms and distances in Å follow each position.
Fractional positions:
1 Ca 0.5000 0.5000 0.8523  4 Cd 3.28
2 Ca 0.5000 0.5000 0.1477  4 Cd 3.28
3 Ca 0.0000 0.0000 0.6290  4 Cu 3.15, 1 Ca 3.38
4 Ca 0.0000 0.0000 0.3710  4 Cu 3.15, 1 Ca 3.38
5 Cd 0.0000 0.0000 0.0000  8 Ca 3.28
6 Cu 0.5000 0.5000 0.5000  8 Ca 3.15

---

Least stable of them? 1.

---

## 1
The following is a DFT calculation (GGA-PBE) of CaCd3Cu after structural relaxation.

The size of the total moment comes out at 0.00 μB/f.u.

Cell lengths 6.0768, 6.0768, 6.0768 Å; angles 90.00, 90.00, 90.00 degrees
Closest atoms and distances in Å follow each position.
Fractional positions:
1 Ca 0.0000 0.0000 0.0000  6 Cd 3.04
2 Cu 0.5000 0.5000 0.5000  12 Cd 4.30
3 Cd 0.0000 0.5000 0.0000  2 Ca 3.04
4 Cd 0.0000 0.0000 0.5000  2 Ca 3.04
5 Cd 0.5000 0.0000 0.0000  2 Ca 3.04

---

## 2
The following is a DFT calculation (GGA-PBE) of CaCd3Cu after structural relaxation.

The size of the total moment comes out at 0.00 μB/f.u.

Cell lengths 5.5405, 6.9363, 6.9363 Å; angles 120.00, 90.00, 90.00 degrees
Closest atoms and distances in Å follow each position.
Fractional positions:
1 Ca 0.7499 0.6667 0.3334  12 Cd 3.27-3.48
2 Ca 0.2501 0.3333 0.6666  12 Cd 3.27-3.48
3 Cd 0.7500 0.6233 0.8116  2 Cu 2.65
4 Cd 0.2500 0.8116 0.6233  2 Cu 2.65
5 Cd 0.2500 0.3767 0.1884  2 Cu 2.65
6 Cd 0.7500 0.1884 0.3767  2 Cu 2.65
7 Cd 0.2499 0.8116 0.1883  2 Cu 2.65
8 Cd 0.7501 0.1884 0.8117  2 Cu 2.65
9 Cu 0.0000 0.0000 0.0000  6 Cd 2.65, 2 Cu 2.77
10 Cu 0.5000 0.0000 0.0000  6 Cd 2.65, 2 Cu 2.77

---

Least stable of them? 1.

---

## 1
The following is a DFT calculation (GGA-PBE) of CaCd2Cu2 after structural relaxation.

The size of the total moment comes out at 0.00 μB/f.u.

Cell lengths 7.6218, 7.6218, 3.3829 Å; angles 90.00, 90.00, 90.00 degrees
Closest atoms and distances in Å follow each position.
Fractional positions:
1 Ca 0.0000 0.0000 0.0000  4 Cu 3.03, 8 Cd 3.30, 2 Ca 3.38
2 Ca 0.5000 0.5000 0.0000  4 Cu 3.03, 8 Cd 3.30, 2 Ca 3.38
3 Cu 0.3790 0.8790 0.0000  1 Cu 2.61, 6 Cd 2.81-2.82
4 Cu 0.8790 0.6210 0.0000  1 Cu 2.61, 6 Cd 2.81-2.82
5 Cu 0.6210 0.1210 0.0000  1 Cu 2.61, 6 Cd 2.81-2.82
6 Cu 0.1210 0.3790 0.0000  1 Cu 2.61, 6 Cd 2.81-2.82
7 Cd 0.1694 0.6694 0.5000  6 Cu 2.81-2.82
8 Cd 0.6694 0.8306 0.5000  6 Cu 2.81-2.82
9 Cd 0.8306 0.3306 0.5000  6 Cu 2.81-2.82
10 Cd 0.3306 0.1694 0.5000  6 Cu 2.81-2.82

---

## 2
The following is a DFT calculation (GGA-PBE) of CaCd2Cu2 after structural relaxation.

The size of the total moment comes out at 0.00 μB/f.u.

Cell lengths 8.0050, 8.0050, 3.0392 Å; angles 90.00, 90.00, 90.00 degrees
Closest atoms and distances in Å follow each position.
Fractional positions:
1 Ca 0.0000 0.0000 0.0000  2 Ca 3.04, 4 Cd 3.14, 8 Cu 3.34
2 Ca 0.5000 0.5000 0.0000  2 Ca 3.04, 4 Cd 3.14, 8 Cu 3.34
3 Cu 0.1696 0.6696 0.5000  6 Cd 2.74-2.85, 2 Cu 3.04
4 Cu 0.6696 0.8304 0.5000  6 Cd 2.74-2.85, 2 Cu 3.04
5 Cu 0.8304 0.3304 0.5000  6 Cd 2.74-2.85, 2 Cu 3.04
6 Cu 0.3304 0.1696 0.5000  6 Cd 2.74-2.85, 2 Cu 3.04
7 Cd 0.3709 0.8709 0.0000  6 Cu 2.74-2.85, 3 Cd 2.92-3.04
8 Cd 0.8709 0.6291 0.0000  6 Cu 2.74-2.85, 3 Cd 2.92-3.04
9 Cd 0.6291 0.1291 0.0000  6 Cu 2.74-2.85, 3 Cd 2.92-3.04
10 Cd 0.1291 0.3709 0.0000  6 Cu 2.74-2.85, 3 Cd 2.92-3.04

---

Least stable of them? 2.

---

## 1
The following is a DFT calculation (GGA-PBE) of CaCd2Cu2 after structural relaxation.

The size of the total moment comes out at 0.00 μB/f.u.

Cell lengths 4.2515, 4.2515, 6.5604 Å; angles 71.09, 71.09, 90.00 degrees
Closest atoms and distances in Å follow each position.
Fractional positions:
1 Ca 0.0000 0.0000 0.0000  8 Cu 3.23, 8 Cd 3.61
2 Cu 0.3987 0.3987 0.2026  1 Cu 2.36
3 Cu 0.6013 0.6013 0.7974  1 Cu 2.36
4 Cd 0.7500 0.2500 0.5000  4 Cu 2.74, 4 Cd 3.01
5 Cd 0.2500 0.7500 0.5000  4 Cu 2.74, 4 Cd 3.01

---

## 2
The following is a DFT calculation (GGA-PBE) of CaCd2Cu2 after structural relaxation.

The size of the total moment comes out at 0.00 μB/f.u.

Cell lengths 4.7658, 4.7658, 5.8956 Å; angles 66.16, 66.16, 90.00 degrees
Closest atoms and distances in Å follow each position.
Fractional positions:
1 Ca 0.0000 0.0000 0.0000  8 Cu 3.40, 10 Cd 3.46-3.64
2 Cu 0.7500 0.2500 0.5000  4 Cd 2.60
3 Cu 0.2500 0.7500 0.5000  4 Cd 2.60
4 Cd 0.3579 0.3579 0.2842  4 Cu 2.60, 1 Cd 2.75
5 Cd 0.6421 0.6421 0.7158  4 Cu 2.60, 1 Cd 2.75

---

Least stable of them? 2.

---

## 1
The following is a DFT calculation (GGA-PBE) of CaCd4Cu after structural relaxation.

The size of the total moment comes out at 0.00 μB/f.u.

Cell lengths 4.2320, 7.4823, 8.5628 Å; angles 90.00, 90.00, 90.00 degrees
Closest atoms and distances in Å follow each position.
Fractional positions:
1 Ca 0.0000 0.6030 0.7500  1 Cu 2.96, 2 Cd 3.28
2 Ca 0.0000 0.3970 0.2500  1 Cu 2.96, 2 Cd 3.28
3 Cd 0.0000 0.0000 0.5000  2 Cu 2.64
4 Cd 0.0000 0.0000 0.0000  2 Cu 2.64
5 Cd 0.5000 0.9375 0.7500  2 Cu 2.92, 8 Cd 3.05-3.24
6 Cd 0.5000 0.0625 0.2500  2 Cu 2.92, 8 Cd 3.05-3.24
7 Cd 0.5000 0.6890 0.0592  2 Cu 2.78, 1 Cd 3.00
8 Cd 0.5000 0.3110 0.9408  2 Cu 2.78, 1 Cd 3.00
9 Cd 0.5000 0.6890 0.4408  2 Cu 2.78, 1 Cd 3.00
10 Cd 0.5000 0.3110 0.5592  2 Cu 2.78, 1 Cd 3.00
11 Cu 0.0000 0.2070 0.7500  8 Cd 2.64-2.92
12 Cu 0.0000 0.7930 0.2500  8 Cd 2.64-2.92

---

## 2
The following is a DFT calculation (GGA-PBE) of CaCd4Cu after structural relaxation.

The size of the total moment comes out at 0.00 μB/f.u.

Cell lengths 5.8070, 5.8070, 5.8070 Å; angles 60.00, 60.00, 60.00 degrees
Closest atoms and distances in Å follow each position.
Fractional positions:
1 Ca 0.0000 0.0000 0.0000  12 Cd 3.41, 4 Cu 3.56
2 Cd 0.8737 0.3754 0.3754  6 Cd 2.89-2.91
3 Cd 0.3754 0.3754 0.8737  6 Cd 2.89-2.91
4 Cd 0.3754 0.8737 0.3754  6 Cd 2.89-2.91
5 Cd 0.3754 0.3754 0.3754  6 Cd 2.89-2.91
6 Cu 0.7500 0.7500 0.7500  12 Cd 3.40, 4 Ca 3.56

---

Least stable of them? 2.